YFe2F8 | PBE with a Hubbard U | relaxed

Unit cell a=8.7526 b=6.6001 c=5.3095 alpha=90.00 beta=103.41 gamma=90.00
With the nearest neighbours (Å) after each atom.
Space group C2/m (No. 12)
Asymmetric unit:
Y (0.0000, 0.0000, 0.0000)  6 F 2.15-2.23
Fe (0.1707, 0.5000, 0.4423)  5 F 1.98-2.12
F (0.0658, 0.5000, 0.7374)  2 Fe 1.99-2.07
F (0.1438, 0.1974, 0.3069)  2 Fe 2.12-2.26, 1 Y 2.23
F (0.1787, 0.0000, 0.7832)  1 Fe 1.98, 1 Y 2.15

Results
Theoretical density (Mg/m³): 3.925
Volume (Å³ per cell): 298
Uncorrected energy (eV per atom): -5.916